Density functional theory data (PBE-GGA) for an optimized crystal structure of K2MgHg3Bi4.

ρ: 7620 kg/m3
Formation enthalpy at 0 K: -0.199 eV per atom
M_tot: 0.00 μB per cell

CIF file:
```
data_K2MgHg3Bi4
_chemical_formula_sum 'K2 Mg1 Hg3 Bi4'
_symmetry_space_group_name_H-M 'P -4 m 2'
_symmetry_Int_Tables_number 115
_symmetry_space_group_name_Hall 'P -4 -2'
_cell_length_a 4.995
_cell_length_b 4.995
_cell_length_c 13.454
_cell_angle_alpha 90.00
_cell_angle_beta 90.00
_cell_angle_gamma 90.00
loop_
_atom_site_label
_atom_site_type_symbol
_atom_site_fract_x
_atom_site_fract_y
_atom_site_fract_z
K1 K 0.000 0.500 0.249
Mg1 Mg 0.000 0.000 0.500
Hg1 Hg 0.000 0.500 0.852
Hg2 Hg 0.500 0.500 0.500
Bi1 Bi 0.000 0.000 0.000
Bi2 Bi 0.000 0.500 0.629
Bi3 Bi 0.500 0.500 0.000
```

Density functional theory data (PBE-GGA) for an optimized crystal structure of KMnHgBi2.

ρ: 8182 kg/m3
Formation enthalpy at 0 K: 0.172 eV per atom
M_tot: 0.13 μB per cell

CIF file:
```
data_KMnHgBi2
_chemical_formula_sum 'K1 Mn1 Hg1 Bi2'
_symmetry_space_group_name_H-M 'P 4/m m m'
_symmetry_Int_Tables_number 123
_symmetry_space_group_name_Hall '-P 4 2'
_cell_length_a 5.179
_cell_length_b 5.179
_cell_length_c 5.392
_cell_angle_alpha 90.00
_cell_angle_beta 90.00
_cell_angle_gamma 90.00
loop_
_atom_site_label
_atom_site_type_symbol
_atom_site_fract_x
_atom_site_fract_y
_atom_site_fract_z
K1 K 0.000 0.000 0.000
Mn1 Mn 0.500 0.500 0.500
Hg1 Hg 0.500 0.500 0.000
Bi1 Bi 0.000 0.500 0.500
```

Density functional theory data (PBE-GGA) for an optimized crystal structure of KNaHg2Bi.

ρ: 6630 kg/m3
Formation enthalpy at 0 K: -0.257 eV per atom
M_tot: 0.00 μB per cell

CIF file:
```
data_KNaHg2Bi
_chemical_formula_sum 'K2 Na2 Hg4 Bi2'
_symmetry_space_group_name_H-M 'I m m 2'
_symmetry_Int_Tables_number 44
_symmetry_space_group_name_Hall 'I 2 -2'
_cell_length_a 4.991
_cell_length_b 5.183
_cell_length_c 13.017
_cell_angle_alpha 90.00
_cell_angle_beta 90.00
_cell_angle_gamma 90.00
loop_
_atom_site_label
_atom_site_type_symbol
_atom_site_fract_x
_atom_site_fract_y
_atom_site_fract_z
K1 K 0.000 0.000 0.000
Na1 Na 0.000 0.500 0.738
Hg1 Hg 0.000 0.000 0.379
Hg2 Hg 0.000 0.500 0.248
Bi1 Bi 0.000 0.000 0.608
```

Density functional theory data (PBE-GGA) for an optimized crystal structure of KNaHgBi.

ρ: 6294 kg/m3
Formation enthalpy at 0 K: -0.251 eV per atom
M_tot: 0.00 μB per cell

CIF file:
```
data_KNaHgBi
_chemical_formula_sum 'K4 Na4 Hg4 Bi4'
_symmetry_space_group_name_H-M 'F -4 3 m'
_symmetry_Int_Tables_number 216
_symmetry_space_group_name_Hall 'F -4 2 3'
_cell_length_a 7.925
_cell_length_b 7.925
_cell_length_c 7.925
_cell_angle_alpha 90.00
_cell_angle_beta 90.00
_cell_angle_gamma 90.00
loop_
_atom_site_label
_atom_site_type_symbol
_atom_site_fract_x
_atom_site_fract_y
_atom_site_fract_z
K1 K 0.000 0.000 0.000
Na1 Na 0.250 0.250 0.750
Hg1 Hg 0.250 0.250 0.250
Bi1 Bi 0.000 0.000 0.500
```

Density functional theory data (PBE-GGA) for an optimized crystal structure of KNaHg4Bi2.

ρ: 9258 kg/m3
Formation enthalpy at 0 K: -0.170 eV per atom
M_tot: 0.00 μB per cell

CIF file:
```
data_KNaHg4Bi2
_chemical_formula_sum 'K3 Na3 Hg12 Bi6'
_symmetry_space_group_name_H-M 'R -3 m'
_symmetry_Int_Tables_number 166
_symmetry_space_group_name_Hall '-R 3 2"'
_cell_length_a 5.4190
_cell_length_b 5.4190
_cell_length_c 27.1339
_cell_angle_alpha 90.00
_cell_angle_beta 90.00
_cell_angle_gamma 120.00
loop_
_atom_site_label
_atom_site_type_symbol
_atom_site_fract_x
_atom_site_fract_y
_atom_site_fract_z
K1 K 0.0000 0.0000 0.0000
Na1 Na 0.0000 0.0000 0.5000
Hg1 Hg 0.0000 0.0000 0.1287
Hg2 Hg 0.0000 0.0000 0.3819
Bi1 Bi 0.0000 0.0000 0.2480
```

Density functional theory data (PBE-GGA) for an optimized crystal structure of KNaHgBi.

ρ: 5928 kg/m3
Formation enthalpy at 0 K: -0.209 eV per atom
M_tot: 0.00 μB per cell

CIF file:
```
data_KNaHgBi
_chemical_formula_sum 'K1 Na1 Hg1 Bi1'
_symmetry_space_group_name_H-M 'P 1 m 1'
_symmetry_Int_Tables_number 6
_symmetry_space_group_name_Hall 'P -2y'
_cell_length_a 5.408
_cell_length_b 4.418
_cell_length_c 5.795
_cell_angle_alpha 90.00
_cell_angle_beta 107.39
_cell_angle_gamma 90.00
loop_
_atom_site_label
_atom_site_type_symbol
_atom_site_fract_x
_atom_site_fract_y
_atom_site_fract_z
K1 K 0.000 0.000 0.000
Na1 Na 0.498 0.000 0.502
Hg1 Hg 0.500 0.500 0.000
Bi1 Bi 0.997 0.500 0.500
```

Density functional theory data (PBE-GGA) for an optimized crystal structure of KNaHg2Bi.

ρ: 5262 kg/m3
Formation enthalpy at 0 K: -0.086 eV per atom
M_tot: 0.00 μB per cell

CIF file:
```
data_KNaHg2Bi
_chemical_formula_sum 'K1 Na1 Hg2 Bi1'
_symmetry_space_group_name_H-M 'P 4/m m m'
_symmetry_Int_Tables_number 123
_symmetry_space_group_name_Hall '-P 4 2'
_cell_length_a 6.018
_cell_length_b 6.018
_cell_length_c 5.858
_cell_angle_alpha 90.00
_cell_angle_beta 90.00
_cell_angle_gamma 90.00
loop_
_atom_site_label
_atom_site_type_symbol
_atom_site_fract_x
_atom_site_fract_y
_atom_site_fract_z
K1 K 0.000 0.000 0.000
Na1 Na 0.500 0.500 0.000
Hg1 Hg 0.000 0.500 0.500
Bi1 Bi 0.500 0.500 0.500
```

Density functional theory data (PBE-GGA) for an optimized crystal structure of KNaHgBi2.

ρ: 6378 kg/m3
Formation enthalpy at 0 K: -0.249 eV per atom
M_tot: 0.00 μB per cell

CIF file:
```
data_KNaHgBi2
_chemical_formula_sum 'K2 Na2 Hg2 Bi4'
_symmetry_space_group_name_H-M 'I m m 2'
_symmetry_Int_Tables_number 44
_symmetry_space_group_name_Hall 'I 2 -2'
_cell_length_a 4.600
_cell_length_b 5.296
_cell_length_c 14.548
_cell_angle_alpha 90.00
_cell_angle_beta 90.00
_cell_angle_gamma 90.00
loop_
_atom_site_label
_atom_site_type_symbol
_atom_site_fract_x
_atom_site_fract_y
_atom_site_fract_z
K1 K 0.000 0.000 0.000
Na1 Na 0.000 0.500 0.736
Hg1 Hg 0.000 0.000 0.392
Bi1 Bi 0.000 0.000 0.607
Bi2 Bi 0.000 0.500 0.257
```

Density functional theory data (PBE-GGA) for an optimized crystal structure of KNdHgBi.

ρ: 7660 kg/m3
Formation enthalpy at 0 K: -0.368 eV per atom
M_tot: 0.00 μB per cell

CIF file:
```
data_KNdHgBi
_chemical_formula_sum 'K4 Nd4 Hg4 Bi4'
_symmetry_space_group_name_H-M 'F -4 3 m'
_symmetry_Int_Tables_number 216
_symmetry_space_group_name_Hall 'F -4 2 3'
_cell_length_a 8.011
_cell_length_b 8.011
_cell_length_c 8.011
_cell_angle_alpha 90.00
_cell_angle_beta 90.00
_cell_angle_gamma 90.00
loop_
_atom_site_label
_atom_site_type_symbol
_atom_site_fract_x
_atom_site_fract_y
_atom_site_fract_z
K1 K 0.000 0.000 0.000
Nd1 Nd 0.000 0.000 0.500
Hg1 Hg 0.250 0.250 0.750
Bi1 Bi 0.250 0.250 0.250
```

Density functional theory data (PBE-GGA) for an optimized crystal structure of KNiHg2Bi.

ρ: 8383 kg/m3
Formation enthalpy at 0 K: -0.075 eV per atom
M_tot: 0.00 μB per cell

CIF file:
```
data_KNiHg2Bi
_chemical_formula_sum 'K1 Ni1 Hg2 Bi1'
_symmetry_space_group_name_H-M 'P 4/m m m'
_symmetry_Int_Tables_number 123
_symmetry_space_group_name_Hall '-P 4 2'
_cell_length_a 5.207
_cell_length_b 5.207
_cell_length_c 5.173
_cell_angle_alpha 90.00
_cell_angle_beta 90.00
_cell_angle_gamma 90.00
loop_
_atom_site_label
_atom_site_type_symbol
_atom_site_fract_x
_atom_site_fract_y
_atom_site_fract_z
K1 K 0.000 0.000 0.000
Ni1 Ni 0.500 0.500 0.500
Hg1 Hg 0.000 0.500 0.500
Bi1 Bi 0.500 0.500 0.000
```

Density functional theory data (PBE-GGA) for an optimized crystal structure of KNiHgBi2.

ρ: 8148 kg/m3
Formation enthalpy at 0 K: -0.005 eV per atom
M_tot: 0.00 μB per cell

CIF file:
```
data_KNiHgBi2
_chemical_formula_sum 'K1 Ni1 Hg1 Bi2'
_symmetry_space_group_name_H-M 'P 4/m m m'
_symmetry_Int_Tables_number 123
_symmetry_space_group_name_Hall '-P 4 2'
_cell_length_a 5.290
_cell_length_b 5.290
_cell_length_c 5.216
_cell_angle_alpha 90.00
_cell_angle_beta 90.00
_cell_angle_gamma 90.00
loop_
_atom_site_label
_atom_site_type_symbol
_atom_site_fract_x
_atom_site_fract_y
_atom_site_fract_z
K1 K 0.000 0.000 0.000
Ni1 Ni 0.500 0.500 0.500
Hg1 Hg 0.500 0.500 0.000
Bi1 Bi 0.000 0.500 0.500
```

Density functional theory data (PBE-GGA) for an optimized crystal structure of KHgBiO2.

ρ: 5033 kg/m3
Energy: -2.39 eV/atom
M_tot: 3.74 μB per cell

CIF file:
```
data_KHgBiO2
_chemical_formula_sum 'K1 Hg1 Bi1 O2'
_symmetry_space_group_name_H-M 'P 4/m m m'
_symmetry_Int_Tables_number 123
_symmetry_space_group_name_Hall '-P 4 2'
_cell_length_a 4.675
_cell_length_b 4.675
_cell_length_c 7.257
_cell_angle_alpha 90.00
_cell_angle_beta 90.00
_cell_angle_gamma 90.00
loop_
_atom_site_label
_atom_site_type_symbol
_atom_site_fract_x
_atom_site_fract_y
_atom_site_fract_z
K1 K 0.000 0.000 0.000
Hg1 Hg 0.500 0.500 0.500
Bi1 Bi 0.000 0.000 0.500
O1 O 0.000 0.500 0.000
```

Density functional theory data (PBE-GGA) for an optimized crystal structure of K2Hg3BiPb4.

ρ: 8149 kg/m3
Formation enthalpy at 0 K: -0.098 eV per atom
M_tot: 0.00 μB per cell

CIF file:
```
data_K2Hg3BiPb4
_chemical_formula_sum 'K2 Hg3 Bi1 Pb4'
_symmetry_space_group_name_H-M 'P -4 m 2'
_symmetry_Int_Tables_number 115
_symmetry_space_group_name_Hall 'P -4 -2'
_cell_length_a 5.141
_cell_length_b 5.141
_cell_length_c 13.242
_cell_angle_alpha 90.00
_cell_angle_beta 90.00
_cell_angle_gamma 90.00
loop_
_atom_site_label
_atom_site_type_symbol
_atom_site_fract_x
_atom_site_fract_y
_atom_site_fract_z
K1 K 0.000 0.500 0.246
Hg1 Hg 0.000 0.500 0.865
Hg2 Hg 0.500 0.500 0.500
Bi1 Bi 0.000 0.000 0.500
Pb1 Pb 0.000 0.000 0.000
Pb2 Pb 0.000 0.500 0.638
Pb3 Pb 0.500 0.500 0.000
```

Density functional theory data (PBE-GGA) for an optimized crystal structure of KHg2Bi2Pb.

ρ: 8921 kg/m3
Formation enthalpy at 0 K: -0.121 eV per atom
M_tot: 0.00 μB per cell

CIF file:
```
data_KHg2Bi2Pb
_chemical_formula_sum 'K1 Hg2 Bi2 Pb1'
_symmetry_space_group_name_H-M 'P -3 m 1'
_symmetry_Int_Tables_number 164
_symmetry_space_group_name_Hall '-P 3 2"'
_cell_length_a 5.2217
_cell_length_b 5.2217
_cell_length_c 8.3987
_cell_angle_alpha 90.00
_cell_angle_beta 90.00
_cell_angle_gamma 120.00
loop_
_atom_site_label
_atom_site_type_symbol
_atom_site_fract_x
_atom_site_fract_y
_atom_site_fract_z
K1 K 0.0000 0.0000 0.0000
Hg1 Hg 0.3333 0.6667 0.7684
Bi1 Bi 0.3333 0.6667 0.3077
Pb1 Pb 0.0000 0.0000 0.5000
```

Density functional theory data (PBE-GGA) for an optimized crystal structure of K2HgBiPb.

ρ: 5937 kg/m3
Formation enthalpy at 0 K: -0.266 eV per atom
M_tot: 0.00 μB per cell

CIF file:
```
data_K2HgBiPb
_chemical_formula_sum 'K4 Hg2 Bi2 Pb2'
_symmetry_space_group_name_H-M 'P 1 21/m 1'
_symmetry_Int_Tables_number 11
_symmetry_space_group_name_Hall '-P 2yb'
_cell_length_a 9.013
_cell_length_b 5.010
_cell_length_c 9.052
_cell_angle_alpha 90.00
_cell_angle_beta 107.98
_cell_angle_gamma 90.00
loop_
_atom_site_label
_atom_site_type_symbol
_atom_site_fract_x
_atom_site_fract_y
_atom_site_fract_z
K1 K 0.045 0.250 0.186
K2 K 0.373 0.750 0.609
Hg1 Hg 0.075 0.250 0.586
Bi1 Bi 0.344 0.750 0.157
Pb1 Pb 0.330 0.250 0.926
```

Density functional theory data (PBE-GGA) for an optimized crystal structure of KHg2BiPb.

ρ: 8152 kg/m3
Formation enthalpy at 0 K: -0.148 eV per atom
M_tot: 0.00 μB per cell

CIF file:
```
data_KHg2BiPb
_chemical_formula_sum 'K2 Hg4 Bi2 Pb2'
_symmetry_space_group_name_H-M 'I m m 2'
_symmetry_Int_Tables_number 44
_symmetry_space_group_name_Hall 'I 2 -2'
_cell_length_a 5.041
_cell_length_b 5.423
_cell_length_c 12.763
_cell_angle_alpha 90.00
_cell_angle_beta 90.00
_cell_angle_gamma 90.00
loop_
_atom_site_label
_atom_site_type_symbol
_atom_site_fract_x
_atom_site_fract_y
_atom_site_fract_z
K1 K 0.000 0.000 0.000
Hg1 Hg 0.000 0.000 0.628
Hg2 Hg 0.000 0.500 0.248
Bi1 Bi 0.000 0.000 0.394
Pb1 Pb 0.000 0.500 0.747
```

Density functional theory data (PBE-GGA) for an optimized crystal structure of K2Hg6BiPb.

ρ: 7640 kg/m3
Formation enthalpy at 0 K: -0.104 eV per atom
M_tot: 0.00 μB per cell

CIF file:
```
data_K2Hg6BiPb
_chemical_formula_sum 'K4 Hg12 Bi2 Pb2'
_symmetry_space_group_name_H-M 'P m m n'
_symmetry_Int_Tables_number 59
_cell_length_a 8.648
_cell_length_b 10.417
_cell_length_c 8.193
_cell_angle_alpha 90.00
_cell_angle_beta 90.00
_cell_angle_gamma 90.00
loop_
_symmetry_equiv_pos_as_xyz
'x,y,z'
'-x,-y,-z'
'-x+1/2,-y+1/2,z'
'x+1/2,y+1/2,-z'
'x+1/2,-y,-z'
'-x+1/2,y,z'
'-x,y+1/2,-z'
'x,-y+1/2,z'
loop_
_atom_site_label
_atom_site_type_symbol
_atom_site_fract_x
_atom_site_fract_y
_atom_site_fract_z
K1 K 0.250 0.016 0.248
Hg1 Hg 0.081 0.750 0.990
Hg2 Hg 0.082 0.250 0.544
Hg3 Hg 0.250 0.530 0.789
Bi1 Bi 0.250 0.750 0.540
Pb1 Pb 0.250 0.250 0.901
```

Density functional theory data (PBE-GGA) for an optimized crystal structure of KHg2BiPd.

ρ: 7984 kg/m3
Formation enthalpy at 0 K: -0.155 eV per atom
M_tot: 0.00 μB per cell

CIF file:
```
data_KHg2BiPd
_chemical_formula_sum 'K1 Hg2 Bi1 Pd1'
_symmetry_space_group_name_H-M 'P 4/m m m'
_symmetry_Int_Tables_number 123
_symmetry_space_group_name_Hall '-P 4 2'
_cell_length_a 5.375
_cell_length_b 5.375
_cell_length_c 5.441
_cell_angle_alpha 90.00
_cell_angle_beta 90.00
_cell_angle_gamma 90.00
loop_
_atom_site_label
_atom_site_type_symbol
_atom_site_fract_x
_atom_site_fract_y
_atom_site_fract_z
K1 K 0.000 0.000 0.000
Hg1 Hg 0.000 0.500 0.500
Bi1 Bi 0.500 0.500 0.000
Pd1 Pd 0.500 0.500 0.500
```

Density functional theory data (PBE-GGA) for an optimized crystal structure of K2HgBiPd.

ρ: 4795 kg/m3
Formation enthalpy at 0 K: -0.179 eV per atom
M_tot: 0.00 μB per cell

CIF file:
```
data_K2HgBiPd
_chemical_formula_sum 'K2 Hg1 Bi1 Pd1'
_symmetry_space_group_name_H-M 'P 4/m m m'
_symmetry_Int_Tables_number 123
_symmetry_space_group_name_Hall '-P 4 2'
_cell_length_a 6.325
_cell_length_b 6.325
_cell_length_c 5.144
_cell_angle_alpha 90.00
_cell_angle_beta 90.00
_cell_angle_gamma 90.00
loop_
_atom_site_label
_atom_site_type_symbol
_atom_site_fract_x
_atom_site_fract_y
_atom_site_fract_z
K1 K 0.000 0.500 0.000
Hg1 Hg 0.000 0.000 0.500
Bi1 Bi 0.500 0.500 0.500
Pd1 Pd 0.500 0.500 0.000
```

Density functional theory data (PBE-GGA) for an optimized crystal structure of KHg2BiPd2.

ρ: 8284 kg/m3
Formation enthalpy at 0 K: -0.047 eV per atom
M_tot: 0.00 μB per cell

CIF file:
```
data_KHg2BiPd2
_chemical_formula_sum 'K1 Hg2 Bi1 Pd2'
_symmetry_space_group_name_H-M 'P 4/m m m'
_symmetry_Int_Tables_number 123
_symmetry_space_group_name_Hall '-P 4 2'
_cell_length_a 5.175
_cell_length_b 5.175
_cell_length_c 6.453
_cell_angle_alpha 90.00
_cell_angle_beta 90.00
_cell_angle_gamma 90.00
loop_
_atom_site_label
_atom_site_type_symbol
_atom_site_fract_x
_atom_site_fract_y
_atom_site_fract_z
K1 K 0.000 0.000 0.000
Hg1 Hg 0.500 0.500 0.242
Bi1 Bi 0.000 0.000 0.500
Pd1 Pd 0.000 0.500 0.500
```